Computed, not measured: a relaxed AgRu2O6 crystal at the PBE-GGA level of DFT.

Results
- ΔE_f (raw) (eV/atom) = -0.6885
- space-group type = P-31m (162)

Cell: 5.273 5.273 4.680 Å, 90.00 90.00 120.00°
Fractional coordinates of all 9 atoms:
Ag1 0.000 0.000 0.000
Ru1 0.333 0.667 0.500
Ru2 0.667 0.333 0.500
O1 0.000 0.380 0.279
O2 0.000 0.620 0.721
O3 0.380 0.000 0.279
O4 0.380 0.380 0.721
O5 0.620 0.000 0.721
O6 0.620 0.620 0.279

Computed, not measured: a relaxed BaSi2Te crystal at the PBE-GGA level of DFT.

Results
- ΔE_f (raw) (eV/atom) = 0.2126
- space-group type = F-43m (216)

Cell: 5.404 5.404 5.404 Å, 60.00 60.00 60.00°
Fractional coordinates of all 4 atoms:
Ba1 0.000 0.000 0.000
Si1 0.250 0.250 0.250
Si2 0.500 0.500 0.500
Te1 0.750 0.750 0.750

Computed, not measured: a relaxed K2Cd3Hg2 crystal at the PBE-GGA level of DFT.

Results
- energy of formation from the pure elements (eV/atom) = -0.15
- space-group type = C2/m (12)

Cell: 6.463 6.463 8.001 Å, 111.90 111.90 45.14°
Fractional coordinates of all 7 atoms:
K1 0.149 0.149 0.279
K2 0.851 0.851 0.721
Cd1 0.396 0.396 0.073
Cd2 0.500 0.500 0.500
Cd3 0.604 0.604 0.927
Hg1 0.147 0.147 0.736
Hg2 0.853 0.853 0.264

Computed, not measured: a relaxed BeFe2PdBr crystal at the PBE-GGA level of DFT.

Results
- ΔE_f (raw) (eV/atom) = 0.9147
- space-group type = P4/mmm (123)

Cell: 4.695 4.695 4.195 Å, 90.00 90.00 90.00°
Fractional coordinates of all 5 atoms:
Be1 0.000 0.000 0.000
Fe1 0.000 0.500 0.500
Fe2 0.500 0.000 0.500
Pd1 0.000 0.000 0.500
Br1 0.500 0.500 0.000

Computed, not measured: a relaxed RbNaCuBr4 crystal at the PBE-GGA level of DFT.

Results
- ΔE_f (raw) (eV/atom) = -1.0352
- space-group type = P2_1/m (11)

Cell: 7.324 6.944 9.337 Å, 90.00 107.34 90.00°
Fractional coordinates of all 14 atoms:
Rb1 0.233 0.250 0.435
Rb2 0.767 0.750 0.565
Na1 0.249 0.250 0.937
Na2 0.751 0.750 0.063
Cu1 0.283 0.750 0.178
Cu2 0.717 0.250 0.822
Br1 0.067 0.750 0.928
Br2 0.088 0.750 0.350
Br3 0.488 0.507 0.775
Br4 0.488 0.993 0.775
Br5 0.512 0.007 0.225
Br6 0.512 0.493 0.225
Br7 0.912 0.250 0.650
Br8 0.933 0.250 0.072

Computed, not measured: a relaxed Ba2TcN2 crystal at the PBE-GGA level of DFT.

Results
- ΔE_f (raw) (eV/atom) = -0.4709
- space-group type = Pnma (62)

Cell: 6.728 5.760 11.527 Å, 90.00 90.00 90.00°
Fractional coordinates of all 20 atoms:
Ba1 0.059 0.250 0.194
Ba2 0.186 0.250 0.548
Ba3 0.314 0.750 0.048
Ba4 0.441 0.750 0.694
Ba5 0.559 0.250 0.306
Ba6 0.686 0.250 0.952
Ba7 0.814 0.750 0.452
Ba8 0.941 0.750 0.806
Tc1 0.224 0.250 0.837
Tc2 0.276 0.750 0.337
Tc3 0.724 0.250 0.663
Tc4 0.776 0.750 0.163
N1 0.033 0.750 0.245
N2 0.224 0.750 0.494
N3 0.276 0.250 0.994
N4 0.467 0.250 0.745
N5 0.533 0.750 0.255
N6 0.724 0.750 0.006
N7 0.776 0.250 0.506
N8 0.967 0.250 0.755

Computed, not measured: a relaxed Fe2SiNiH crystal at the PBE-GGA level of DFT.

Results
- space-group type = P4/mmm (123)
- electronic total energy (Ry/atom) = -0.4779

Cell: 3.554 3.554 3.654 Å, 90.00 90.00 90.00°
Fractional coordinates of all 5 atoms:
Fe1 0.000 0.500 0.000
Fe2 0.500 0.000 0.000
Si1 0.000 0.000 0.500
Ni1 0.500 0.500 0.500
H1 0.500 0.500 0.000

Computed, not measured: a relaxed Ga2Ag2Sb crystal at the PBE-GGA level of DFT.

Results
- polymorph energy (0 for the lowest one) (meV/atom) = 0
- ΔE_f (raw) (eV/atom) = 0.0727
- space-group type = P4/mbm (127)

Cell: 7.922 7.922 3.234 Å, 90.00 90.00 90.00°
Fractional coordinates of all 10 atoms:
Ga1 0.165 0.335 0.000
Ga2 0.335 0.835 0.000
Ga3 0.665 0.165 0.000
Ga4 0.835 0.665 0.000
Ag1 0.132 0.632 0.500
Ag2 0.368 0.132 0.500
Ag3 0.632 0.868 0.500
Ag4 0.868 0.368 0.500
Sb1 0.000 0.000 0.500
Sb2 0.500 0.500 0.500

Computed, not measured: a relaxed HfAsSBr2 crystal at the PBE-GGA level of DFT.

Results
- polymorph energy (0 for the lowest one) (meV/atom) = 545
- ΔE_f (raw) (eV/atom) = 0.5588
- space-group type = P4/mmm (123)

Cell: 5.092 5.092 4.975 Å, 90.00 90.00 90.00°
Fractional coordinates of all 5 atoms:
Hf1 0.000 0.000 0.000
As1 0.500 0.500 0.000
S1 0.000 0.000 0.500
Br1 0.000 0.500 0.500
Br2 0.500 0.000 0.500

Computed, not measured: a relaxed TmScBePt crystal at the PBE-GGA level of DFT.

Results
- energy of formation from the pure elements (eV/atom) = -0.61
- space-group type = F-43m (216)

Cell: 4.724 4.724 4.724 Å, 60.00 60.00 60.00°
Fractional coordinates of all 4 atoms:
Tm1 0.000 0.000 0.000
Sc1 0.500 0.500 0.500
Be1 0.250 0.250 0.250
Pt1 0.750 0.750 0.750

Computed, not measured: a relaxed Nd2PPd6 crystal at the PBE-GGA level of DFT.

Results
- energy of formation from the pure elements (eV/atom) = -0.81
- space-group type = Fm-3m (225)

Cell: 6.188 6.188 6.188 Å, 60.00 60.00 60.00°
Fractional coordinates of all 9 atoms:
Nd1 0.250 0.250 0.250
Nd2 0.750 0.750 0.750
P1 0.000 0.000 0.000
Pd1 0.268 0.268 0.732
Pd2 0.268 0.732 0.268
Pd3 0.268 0.732 0.732
Pd4 0.732 0.268 0.268
Pd5 0.732 0.268 0.732
Pd6 0.732 0.732 0.268

Computed, not measured: a relaxed CdSeCl2 crystal at the PBE-GGA level of DFT.

Results
- polymorph energy (0 for the lowest one) (meV/atom) = 673
- ΔE_f (raw) (eV/atom) = 0.1358
- space-group type = Fm-3m (225)

Cell: 5.056 5.056 5.056 Å, 60.00 60.00 60.00°
Fractional coordinates of all 4 atoms:
Cd1 0.000 0.000 0.000
Se1 0.500 0.500 0.500
Cl1 0.250 0.250 0.250
Cl2 0.750 0.750 0.750

What did we get for magnetization? Answer: 0.000; 0.000; 0.000; 6.765; 0.718; 0.002; 3.258; 0.000; 0.278; 0.000; 0.000; 2.011 μB per formula unit, in the order shown.
What did we get for N(E_F)? Answer: 6.24; 2.30; 3.00; 5.43; 7.55; 1.76; 4.73; 2.03; 4.26; 3.04; 4.35; 1.71 states/eV/f.u., in the order shown.